DFT (PBE-GGA) results for a geometry-optimized Cs2BeFeCl6 structure.

Cell: 7.395 7.395 7.395 Å, 123.18 123.18 84.58°
Element x y z (fractional)
Cs: 0.250 0.750 0.500
Cs: 0.750 0.250 0.500
Be: 0.000 0.000 0.000
Fe: 0.500 0.500 0.000
Cl: 0.219 0.219 0.438
Cl: 0.219 0.781 0.000
Cl: 0.294 0.294 0.000
Cl: 0.706 0.706 0.000
Cl: 0.781 0.219 0.000
Cl: 0.781 0.781 0.562

Properties
ΔE_f (raw) = -1.298 eV per atom
calculated total energy = -0.27900 Ry per atom

=====

DFT (PBE-GGA) results for a geometry-optimized ZrZnCu structure.

Cell: 5.283 5.283 5.283 Å, 130.53 114.47 86.33°
Element x y z (fractional)
Zr: 0.248 0.000 0.248
Zr: 0.752 0.000 0.752
Zn: 0.332 0.332 0.000
Zn: 0.668 0.668 0.000
Cu: 0.166 0.666 0.500
Cu: 0.834 0.334 0.500

Properties
formation energy from the elements = -217 meV per atom
calculated total energy = -0.35695 Ry per atom

=====

DFT (PBE-GGA) results for a geometry-optimized TbGdCuIr structure.

Cell: 4.908 4.908 4.908 Å, 60.00 60.00 60.00°
Element x y z (fractional)
Tb: 0.000 0.000 0.000
Gd: 0.500 0.500 0.500
Cu: 0.250 0.250 0.250
Ir: 0.750 0.750 0.750

Properties
formation energy from the elements = -550 meV per atom
calculated total energy = -0.62231 Ry per atom